(1)
The following is a PBE-GGA calculation of an optimized crystal structure of PbC, from Alexandria via LeMat-Bulk.

Lattice parameters (Å, degrees): 3.8254 5.6790 11.7089 90.00 90.00 90.00
Last column: nearest neighbours and their distance in Å.
Element x y z (fractional)
1 Pb 0.0000 0.6301 0.5000  4 C 2.29-2.33
2 Pb 0.0000 0.8721 0.1502  4 C 2.33-2.35
3 Pb 0.5000 0.1279 0.6502  4 C 2.33-2.35
4 Pb 0.5000 0.3699 0.0000  4 C 2.29-2.33
5 Pb 0.0000 0.8721 0.8498  4 C 2.33-2.35
6 Pb 0.5000 0.1279 0.3498  4 C 2.33-2.35
7 C 0.0000 0.8912 0.3508  4 Pb 2.29-2.35
8 C 0.5000 0.3965 0.5000  4 Pb 2.33
9 C 0.0000 0.6035 0.0000  4 Pb 2.33
10 C 0.5000 0.1088 0.8508  4 Pb 2.29-2.35
11 C 0.0000 0.8912 0.6492  4 Pb 2.29-2.35
12 C 0.5000 0.1088 0.1492  4 Pb 2.29-2.35

magnetization = 0.0 Bohr magnetons per cell
distance to the lowest polymorph of the same formula = 17.72 kcal/mol of atoms
formation energy from the elements = 1.621 eV per atom
electronic total energy = -4.85 eV per atom

---

(2)
The following is a PBE-GGA calculation of an optimized crystal structure of La2BiH2, from Alexandria via LeMat-Bulk.

Lattice parameters (Å, degrees): 4.8929 4.8929 5.8906 65.46 65.46 90.00
Last column: nearest neighbours and their distance in Å.
Element x y z (fractional)
1 H 0.3169 0.3169 0.3661  4 La 2.53
2 H 0.6831 0.6831 0.6339  4 La 2.53
3 La 0.2500 0.7500 0.5000  4 H 2.53
4 La 0.7500 0.2500 0.5000  4 H 2.53
5 Bi 0.0000 0.0000 0.0000  2 H 3.02

magnetization = 0.7 Bohr magnetons per cell
distance to the lowest polymorph of the same formula = 5.00 kcal/mol of atoms
electronic total energy = -4.66 eV per atom

---

(3)
The following is a PBE-GGA calculation of an optimized crystal structure of Mn3FeIr4, from Alexandria via LeMat-Bulk.

Lattice parameters (Å, degrees): 3.5715 3.8870 7.8231 90.00 90.00 90.00
Last column: nearest neighbours and their distance in Å.
Element x y z (fractional)
1 Fe 0.5000 0.5000 0.0000  8 Ir 2.63-2.64, 4 Mn 2.71
2 Ir 0.0000 0.5000 0.7540  2 Fe 2.63, 6 Mn 2.64-2.67, 4 Ir 2.74-2.78
3 Ir 0.0000 0.0000 0.0000  4 Mn 2.60, 4 Fe 2.64, 4 Ir 2.74
4 Ir 0.0000 0.5000 0.2460  2 Fe 2.63, 6 Mn 2.64-2.67, 4 Ir 2.74-2.78
5 Ir 0.0000 0.0000 0.5000  8 Mn 2.64-2.70, 4 Ir 2.78
6 Mn 0.5000 0.0000 0.7591  8 Ir 2.60-2.70, 2 Fe 2.71, 2 Mn 2.81
7 Mn 0.5000 0.5000 0.5000  8 Ir 2.64-2.67, 4 Mn 2.81
8 Mn 0.5000 0.0000 0.2409  8 Ir 2.60-2.70, 2 Fe 2.71, 2 Mn 2.81

magnetization = 6.6 Bohr magnetons per cell
formation energy from the elements = -0.180 eV per atom
electronic total energy = -9.11 eV per atom